Entry from the Alexandria database: Ac2ZnCu6Ir after structural relaxation (PBE-GGA).

abc: 4.891 6.598 6.849
angles: 81.38 69.08 68.27
Space group P-1 (No. 2)
Symmetry-distinct sites (fractional):
Ac 0.222 0.228 0.325 (multiplicity 2)
Zn 0.000 0.000 0.000 (multiplicity 1)
Cu 0.230 0.262 0.780 (multiplicity 2)
Cu 0.252 0.579 0.918 (multiplicity 2)
Cu 0.273 0.738 0.219 (multiplicity 2)
Ir 0.500 0.500 0.500 (multiplicity 1)

Its total magnetization is 0.00 μB per formula unit. The final energy comes out at -0.1645 hartree per atom. As for the crystal system: triclinic. For the density of states at the Fermi level, the calculation gives 5.251 states/eV/f.u. The calculated formation energy comes out at -17.8 kJ per mole of atoms.



Entry from the Alexandria database: KTeBrO2 after structural relaxation (PBE-GGA).

abc: 7.276 4.208 8.061
angles: 90.00 97.79 90.00
Space group P2_1/m (No. 11)
Symmetry-distinct sites (fractional):
K 0.211 0.250 0.417 (multiplicity 2)
Te 0.149 0.250 0.912 (multiplicity 2)
Br 0.487 0.750 0.243 (multiplicity 2)
O 0.023 0.250 0.699 (multiplicity 2)
O 0.070 0.750 0.946 (multiplicity 2)

The raw formation energy comes out at -1249 meV per atom. Its total magnetization is 0.00 μB per formula unit. The final energy comes out at -0.1622 hartree per atom. As for the crystal system: monoclinic. For the density of states at the Fermi level, the calculation gives 0.000 states/eV/f.u.



Entry from the Alexandria database: Tb3Pm2Er3 after structural relaxation (PBE-GGA).

abc: 5.041 5.043 20.110
angles: 90.00 90.00 90.00
Space group Immm (No. 71)
Symmetry-distinct sites (fractional):
Tb 0.000 0.000 0.000 (multiplicity 2)
Tb 0.000 0.500 0.123 (multiplicity 4)
Pm 0.000 0.000 0.250 (multiplicity 4)
Er 0.000 0.000 0.500 (multiplicity 2)
Er 0.000 0.500 0.377 (multiplicity 4)

For the distance to the lowest polymorph of the same formula, the calculation gives 0.000 eV per atom. Its total magnetization is 0.00 μB per formula unit. The final energy comes out at -0.1696 hartree per atom. As for the crystal system: orthorhombic. For the density of states at the Fermi level, the calculation gives 11.556 states/eV/f.u. The calculated formation energy comes out at 2.0 kJ per mole of atoms.